Entry 1:
First-principles (SCAN) data for a PBEsol-optimized structure of MoWCl4, as listed in Alexandria via LeMat-Bulk.

Summary:
Formation energy (no corrections)   1.78 eV/atom
Space group   F-43m
Theoretical density   6.31 Mg/m³
Magnetic moment   0.63 μB/f.u.

a = 5.3933 Å, b = 5.3933 Å, c = 5.3933 Å
α = 60.00°, β = 60.00°, γ = 60.00°
Site moments in Bohr magnetons follow the coordinates.
Sites, in units of the cell vectors:
Cl 0.3750 0.3750 0.3750  -0.18
Cl 0.3750 0.3750 0.8749  -0.18
Cl 0.8749 0.3750 0.3750  -0.18
Cl 0.3750 0.8749 0.3750  -0.18
Mo 0.7500 0.7500 0.7500  3.30
W 0.0000 0.0000 0.0000  -2.62


Entry 2:
First-principles (SCAN) data for a PBEsol-optimized structure of MoWCl, as listed in Alexandria via LeMat-Bulk.

Summary:
Formation energy (no corrections)   0.45 eV/atom
Space group   Fmm2
Theoretical density   10.56 Mg/m³
Magnetic moment   0.00 μB/f.u.

a = 2.9200 Å, b = 2.9200 Å, c = 6.6096 Å
α = 97.30°, β = 97.30°, γ = 115.13°
Sites, in units of the cell vectors:
Mo 0.6750 0.6750 0.3501
W 0.3236 0.3236 0.6471
Cl 0.0014 0.0014 0.0028


Entry 3:
First-principles (SCAN) data for a PBEsol-optimized structure of MoW2Cl, as listed in Alexandria via LeMat-Bulk.

Summary:
Formation energy (no corrections)   0.89 eV/atom
Space group   Cm
Theoretical density   13.02 Mg/m³
Magnetic moment   0.00 μB/f.u.

a = 2.9397 Å, b = 4.5227 Å, c = 5.0082 Å
α = 91.51°, β = 107.07°, γ = 90.00°
Sites, in units of the cell vectors:
Mo 0.2748 0.2541 0.5496
W 0.9929 0.0209 0.9858
W 0.7182 0.7881 0.4365
Cl 0.5140 0.4369 0.0281


Entry 4:
First-principles (SCAN) data for a PBEsol-optimized structure of Y2MoCl, as listed in Alexandria via LeMat-Bulk.

Summary:
Formation energy (no corrections)   0.14 eV/atom
Space group   Fm-3m
Theoretical density   6.02 Mg/m³
Magnetic moment   0.00 μB/f.u.

a = 4.9420 Å, b = 4.9420 Å, c = 4.9420 Å
α = 60.00°, β = 60.00°, γ = 60.00°
Sites, in units of the cell vectors:
Y 0.2500 0.2500 0.2500
Y 0.7500 0.7500 0.7500
Mo 0.5000 0.5000 0.5000
Cl 0.0000 0.0000 0.0000


Entry 5:
First-principles (SCAN) data for a PBEsol-optimized structure of Y2MoCl2, as listed in Alexandria via LeMat-Bulk.

Summary:
Formation energy (no corrections)   -0.55 eV/atom
Space group   I4/mmm
Theoretical density   5.43 Mg/m³
Magnetic moment   0.76 μB/f.u.

a = 5.3021 Å, b = 5.3033 Å, c = 5.3021 Å
α = 119.99°, β = 90.00°, γ = 119.99°
Site moments in Bohr magnetons follow the coordinates.
Sites, in units of the cell vectors:
Y 0.2500 0.5000 0.7500  -0.12
Y 0.7500 0.5000 0.2500  -0.12
Mo 0.0000 0.0000 0.0000  1.04
Cl 0.6875 0.3750 0.6875  0.02
Cl 0.3125 0.6250 0.3125  0.02


Entry 6:
First-principles (SCAN) data for a PBEsol-optimized structure of Y2MoCl, as listed in Alexandria via LeMat-Bulk.

Summary:
Formation energy (no corrections)   -0.29 eV/atom
Space group   Amm2
Theoretical density   6.00 Mg/m³
Magnetic moment   0.00 μB/f.u.

a = 3.3037 Å, b = 4.8897 Å, c = 5.5527 Å
α = 90.00°, β = 107.31°, γ = 90.00°
Sites, in units of the cell vectors:
Y 0.9859 0.5000 0.9719
Y 0.2588 0.0000 0.5176
Mo 0.7312 0.5000 0.4624
Cl 0.5241 0.0000 0.0481


Entry 7:
First-principles (SCAN) data for a PBEsol-optimized structure of Y2MoCl, as listed in Alexandria via LeMat-Bulk.

Summary:
Formation energy (no corrections)   0.08 eV/atom
Space group   P4mm
Theoretical density   5.19 Mg/m³
Magnetic moment   0.12 μB/f.u.

a = 3.1157 Å, b = 3.1157 Å, c = 10.1982 Å
α = 90.00°, β = 90.00°, γ = 90.00°
Site moments in Bohr magnetons follow the coordinates.
Sites, in units of the cell vectors:
Y 0.0000 0.0000 0.9839  0.08
Y 0.5000 0.5000 0.2876  0.42
Mo 0.5000 0.5000 0.7803  -0.65
Cl 0.0000 0.0000 0.4482  0.00


Entry 8:
First-principles (SCAN) data for a PBEsol-optimized structure of YMo3Cl, as listed in Alexandria via LeMat-Bulk.

Summary:
Formation energy (no corrections)   0.77 eV/atom
Space group   Pm-3m
Theoretical density   7.65 Mg/m³
Magnetic moment   1.60 μB/f.u.

a = 4.4735 Å, b = 4.4735 Å, c = 4.4735 Å
α = 90.00°, β = 90.00°, γ = 90.00°
Site moments in Bohr magnetons follow the coordinates.
Sites, in units of the cell vectors:
Y 0.5000 0.5000 0.5000  0.11
Mo 0.0000 0.5000 0.0000  0.45
Mo 0.0000 0.0000 0.5000  0.45
Mo 0.5000 0.0000 0.0000  0.45
Cl 0.0000 0.0000 0.0000  -0.01


Entry 9:
First-principles (SCAN) data for a PBEsol-optimized structure of Y2MoCl, as listed in Alexandria via LeMat-Bulk.

Summary:
Formation energy (no corrections)   0.64 eV/atom
Space group   F-43m
Theoretical density   6.15 Mg/m³
Magnetic moment   0.98 μB/f.u.

a = 4.9057 Å, b = 4.9057 Å, c = 4.9057 Å
α = 60.00°, β = 60.00°, γ = 60.00°
Site moments in Bohr magnetons follow the coordinates.
Sites, in units of the cell vectors:
Y 0.0000 0.0000 0.0000  -0.11
Y 0.7500 0.7500 0.7500  -0.31
Mo 0.2500 0.2500 0.2500  1.38
Cl 0.5000 0.5000 0.5000  0.04


Entry 10:
First-principles (SCAN) data for a PBEsol-optimized structure of Y2MoCl, as listed in Alexandria via LeMat-Bulk.

Summary:
Formation energy (no corrections)   -0.47 eV/atom
Space group   P4/mmm
Theoretical density   5.77 Mg/m³
Magnetic moment   0.00 μB/f.u.

a = 3.3648 Å, b = 3.3648 Å, c = 7.8584 Å
α = 90.00°, β = 90.00°, γ = 90.00°
Sites, in units of the cell vectors:
Y 0.0000 0.0000 0.7204
Y 0.0000 0.0000 0.2796
Mo 0.5000 0.5000 0.5000
Cl 0.5000 0.5000 0.0000


Entry 11:
First-principles (SCAN) data for a PBEsol-optimized structure of Y2MoCl, as listed in Alexandria via LeMat-Bulk.

Summary:
Formation energy (no corrections)   -0.19 eV/atom
Space group   P4/mmm
Theoretical density   5.98 Mg/m³
Magnetic moment   0.00 μB/f.u.

a = 3.1544 Å, b = 5.2157 Å, c = 5.2157 Å
α = 90.00°, β = 90.00°, γ = 90.00°
Sites, in units of the cell vectors:
Y 0.0000 0.0000 0.5000
Y 0.0000 0.5000 0.0000
Mo 0.5000 0.0000 0.0000
Cl 0.5000 0.5000 0.5000


Entry 12:
First-principles (SCAN) data for a PBEsol-optimized structure of ZnMoCl, as listed in Alexandria via LeMat-Bulk.

Summary:
Formation energy (no corrections)   0.24 eV/atom
Space group   Fmm2
Theoretical density   6.51 Mg/m³
Magnetic moment   0.88 μB/f.u.

a = 2.9365 Å, b = 2.9867 Å, c = 6.7300 Å
α = 83.84°, β = 77.40°, γ = 60.55°
Site moments in Bohr magnetons follow the coordinates.
Sites, in units of the cell vectors:
Mo 0.3386 0.0000 0.3228  0.77
Zn 0.6768 0.0000 0.6465  0.00
Cl 0.9846 0.0000 0.0307  0.02


Entry 13:
First-principles (SCAN) data for a PBEsol-optimized structure of ZnMo2Cl, as listed in Alexandria via LeMat-Bulk.

Summary:
Formation energy (no corrections)   0.19 eV/atom
Space group   P4mm
Theoretical density   6.96 Mg/m³
Magnetic moment   0.00 μB/f.u.

a = 3.0882 Å, b = 3.0882 Å, c = 7.3247 Å
α = 90.00°, β = 90.00°, γ = 90.00°
Sites, in units of the cell vectors:
Mo 0.0000 0.0000 0.0374
Mo 0.5000 0.5000 0.2237
Zn 0.0000 0.0000 0.4425
Cl 0.5000 0.5000 0.7964


Entry 14:
First-principles (SCAN) data for a PBEsol-optimized structure of ZnMoCl, as listed in Alexandria via LeMat-Bulk.

Summary:
Formation energy (no corrections)   1.17 eV/atom
Space group   F-43m
Theoretical density   6.62 Mg/m³
Magnetic moment   0.85 μB/f.u.

a = 4.1170 Å, b = 4.1170 Å, c = 4.1170 Å
α = 60.00°, β = 60.00°, γ = 60.00°
Site moments in Bohr magnetons follow the coordinates.
Sites, in units of the cell vectors:
Mo 0.0000 0.0000 0.0000  0.84
Zn 0.5000 0.5000 0.5000  -0.01
Cl 0.2500 0.2500 0.2500  -0.03


Entry 15:
First-principles (SCAN) data for a PBEsol-optimized structure of ZrMoCl2, as listed in Alexandria via LeMat-Bulk.

Summary:
Formation energy (no corrections)   0.19 eV/atom
Space group   Fm-3m
Theoretical density   6.97 Mg/m³
Magnetic moment   2.99 μB/f.u.

a = 4.4296 Å, b = 4.4296 Å, c = 4.4296 Å
α = 60.00°, β = 60.00°, γ = 60.00°
Site moments in Bohr magnetons follow the coordinates.
Sites, in units of the cell vectors:
Mo 0.0000 0.0000 0.0000  -2.35
Zr 0.5000 0.5000 0.5000  -0.16
Cl 0.2500 0.2500 0.2500  -0.04
Cl 0.7500 0.7500 0.7500  -0.04


Entry 16:
First-principles (SCAN) data for a PBEsol-optimized structure of ZrMoCl2, as listed in Alexandria via LeMat-Bulk.

Summary:
Formation energy (no corrections)   -0.41 eV/atom
Space group   R-3m
Theoretical density   6.21 Mg/m³
Magnetic moment   0.00 μB/f.u.

a = 3.0453 Å, b = 3.0453 Å, c = 8.7633 Å
α = 79.99°, β = 79.99°, γ = 60.00°
Sites, in units of the cell vectors:
Mo 0.0000 0.0000 0.0000
Zr 0.5000 0.5000 0.5000
Cl 0.9072 0.9072 0.2784
Cl 0.0928 0.0928 0.7216


Entry 17:
First-principles (SCAN) data for a PBEsol-optimized structure of ZrMoCl2, as listed in Alexandria via LeMat-Bulk.

Summary:
Formation energy (no corrections)   -0.55 eV/atom
Space group   C2/m
Theoretical density   4.89 Mg/m³
Magnetic moment   0.79 μB/f.u.

a = 3.1689 Å, b = 4.4631 Å, c = 6.4213 Å
α = 95.03°, β = 104.29°, γ = 90.00°
Site moments in Bohr magnetons follow the coordinates.
Sites, in units of the cell vectors:
Mo 0.5000 0.0000 0.0000  0.79
Zr 0.0000 0.5000 0.0000  -0.12
Cl 0.3433 0.2779 0.6866  0.01
Cl 0.6567 0.7221 0.3134  0.01


Entry 18:
First-principles (SCAN) data for a PBEsol-optimized structure of ZrMoCl2, as listed in Alexandria via LeMat-Bulk.

Summary:
Formation energy (no corrections)   -0.59 eV/atom
Space group   Pm
Theoretical density   5.12 Mg/m³
Magnetic moment   0.00 μB/f.u.

a = 3.1921 Å, b = 3.8532 Å, c = 7.0558 Å
α = 105.31°, β = 90.00°, γ = 90.00°
Sites, in units of the cell vectors:
Mo 0.0000 0.7132 0.5562
Zr 0.5000 0.2806 0.7341
Cl 0.0000 0.9150 0.9203
Cl 0.5000 0.5911 0.2894


Entry 19:
First-principles (SCAN) data for a PBEsol-optimized structure of NaNCl3, as listed in Alexandria via LeMat-Bulk.

Summary:
Formation energy (no corrections)   0.64 eV/atom
Space group   Pm-3m
Theoretical density   1.64 Mg/m³
Magnetic moment   5.11 μB/f.u.

a = 5.2577 Å, b = 5.2577 Å, c = 5.2577 Å
α = 90.00°, β = 90.00°, γ = 90.00°
Site moments in Bohr magnetons follow the coordinates.
Sites, in units of the cell vectors:
Na 0.0000 0.0000 0.0000  0.00
N 0.5000 0.5000 0.5000  1.97
Cl 0.0000 0.5000 0.0000  0.55
Cl 0.0000 0.0000 0.5000  0.55
Cl 0.5000 0.0000 0.0000  0.55


Entry 20:
First-principles (SCAN) data for a PBEsol-optimized structure of NaNCl3, as listed in Alexandria via LeMat-Bulk.

Summary:
Formation energy (no corrections)   0.11 eV/atom
Space group   Pm-3m
Theoretical density   2.70 Mg/m³
Magnetic moment   0.50 μB/f.u.

a = 4.4494 Å, b = 4.4494 Å, c = 4.4494 Å
α = 90.00°, β = 90.00°, γ = 90.00°
Site moments in Bohr magnetons follow the coordinates.
Sites, in units of the cell vectors:
Na 0.5000 0.5000 0.5000  0.00
N 0.0000 0.0000 0.0000  0.33
Cl 0.0000 0.5000 0.0000  0.01
Cl 0.0000 0.0000 0.5000  0.01
Cl 0.5000 0.0000 0.0000  0.01